# Tb3Si6Ni2Rh

A relaxed Tb3Si6Ni2Rh crystal (GGA-PBE, the Alexandria database).

Computed properties:
**Total DFT energy (no corrections)**: -5.86 eV per atom

Cell: 5.7041 5.7041 7.7020 Å, 90.00 90.00 120.00°
Last column: nearest neighbours and their distance in Å.
Atoms (fractional coordinates):
Ni 0.3333 0.6667 0.0448  3 Si 2.33
Rh 0.0000 0.0000 0.5000  6 Si 2.50
Si 0.8087 0.1913 0.7133  1 Ni 2.33, 2 Si 2.43, 1 Rh 2.50
Si 0.3825 0.1913 0.7133  1 Ni 2.33, 2 Si 2.43, 1 Rh 2.50
Si 0.6175 0.8087 0.2867  1 Ni 2.33, 2 Si 2.43, 1 Rh 2.50
Si 0.8087 0.6175 0.7133  1 Ni 2.33, 2 Si 2.43, 1 Rh 2.50
Ni 0.6667 0.3333 0.9552  3 Si 2.33
Tb 0.3333 0.6667 0.6236  9 Si 2.94-2.95, 1 Ni 3.24
Tb 0.6667 0.3333 0.3764  9 Si 2.94-2.95, 1 Ni 3.24
Tb 0.0000 0.0000 0.0000  6 Si 2.91
Si 0.1913 0.3825 0.2867  1 Ni 2.33, 2 Si 2.43, 1 Rh 2.50
Si 0.1913 0.8087 0.2867  1 Ni 2.33, 2 Si 2.43, 1 Rh 2.50


# Al2CrSiB

A relaxed Al2CrSiB crystal (GGA-PBE, the Alexandria database).

Computed properties:
**Total DFT energy (no corrections)**: -5.59 eV per atom

Cell: 4.0802 4.1581 4.0802 Å, 90.00 90.00 90.00°
Last column: nearest neighbours and their distance in Å.
Atoms (fractional coordinates):
B 0.0000 0.0000 0.0000  4 Al 2.04, 2 Cr 2.08
Al 0.5000 0.0000 0.0000  2 B 2.04
Al 0.0000 0.0000 0.5000  2 B 2.04
Si 0.5000 0.5000 0.5000  4 Cr 2.89, 8 Al 2.91
Cr 0.0000 0.5000 0.0000  2 B 2.08


# Nd2Ho2Er2Tm

A relaxed Nd2Ho2Er2Tm crystal (GGA-PBE, the Alexandria database).

Computed properties:
**Calculated formation energy**: 0.6 eV/f.u.
**Total DFT energy (no corrections)**: -4.53 eV per atom

Cell: 3.5010 6.0931 11.7661 Å, 71.73 90.00 106.70°
Last column: nearest neighbours and their distance in Å.
Atoms (fractional coordinates):
Er 0.7725 0.5451 0.3654  3 Ho 3.45-3.56, 4 Er 3.50-3.51, 3 Tm 3.51-3.52, 2 Nd 3.59
Ho 0.4507 0.9014 0.7679  3 Er 3.45-3.56, 2 Tm 3.49, 2 Ho 3.50, 4 Nd 3.54-3.60
Nd 0.3284 0.6568 0.0858  5 Nd 3.50-3.85, 4 Ho 3.54-3.60, 2 Er 3.59
Ho 0.5493 0.0986 0.2321  3 Er 3.45-3.56, 2 Tm 3.49, 2 Ho 3.50, 4 Nd 3.54-3.60
Er 0.2275 0.4549 0.6346  3 Ho 3.45-3.56, 4 Er 3.50-3.51, 3 Tm 3.51-3.52, 2 Nd 3.59
Nd 0.6716 0.3432 0.9142  5 Nd 3.50-3.85, 4 Ho 3.54-3.60, 2 Er 3.59
Tm 0.0000 0.0000 0.5000  4 Ho 3.49, 2 Tm 3.50, 6 Er 3.51-3.52


# YBN2

A relaxed YBN2 crystal (GGA-PBE, the Alexandria database).

Computed properties:
**Total DFT energy (no corrections)**: -6.37 eV per atom

Cell: 6.2750 6.2750 6.2750 Å, 26.93 26.93 26.93°
Last column: nearest neighbours and their distance in Å.
Atoms (fractional coordinates):
B 0.5000 0.5000 0.5000  6 N 1.86
N 0.1230 0.1230 0.1230  3 B 1.86
N 0.8770 0.8770 0.8770  3 B 1.86
Y 0.0000 0.0000 0.0000  2 N 2.23


- What is the total DFT energy (no corrections) in the fourth record?
  -6.37 eV per atom